DFT (PBE) results for an optimized crystal structure of YCuMo3.

Cell: 4.646 4.646 4.646 Å, 90.00 90.00 90.00°
Atoms (fractional coordinates):
Y1 0.500 0.500 0.500
Mo1 0.000 0.500 0.000
Mo2 0.000 0.000 0.500
Mo3 0.500 0.000 0.000
Cu1 0.000 0.000 0.000

Computed properties:
E_form: 1.26 eV/atom
magnetic moment: 0.00 μB per formula unit
energy above the lowest structure with this stoichiometry: 0 meV per atom

=====

DFT (PBE) results for an optimized crystal structure of MoRh2Br.

Cell: 2.963 2.963 7.254 Å, 90.00 90.00 90.00°
Atoms (fractional coordinates):
Mo1 0.500 0.500 0.757
Rh1 0.000 0.000 0.984
Rh2 0.500 0.500 0.247
Br1 0.000 0.000 0.512

Computed properties:
magnetic moment: 0.43 μB per formula unit
energy above the lowest structure with this stoichiometry: 248 meV per atom

=====

DFT (PBE) results for an optimized crystal structure of MgAlGa3.

Cell: 4.972 4.972 4.972 Å, 90.00 90.00 90.00°
Atoms (fractional coordinates):
Mg1 0.500 0.500 0.500
Al1 0.000 0.000 0.000
Ga1 0.000 0.500 0.000
Ga2 0.000 0.000 0.500
Ga3 0.500 0.000 0.000

Computed properties:
E_form: 0.31 eV/atom
magnetic moment: 0.00 μB per formula unit
energy above the lowest structure with this stoichiometry: 337 meV per atom

=====

DFT (PBE) results for an optimized crystal structure of LaSb2TeMo.

Cell: 6.035 6.035 6.018 Å, 90.00 90.00 90.00°
Atoms (fractional coordinates):
Sb1 0.000 0.500 0.000
Sb2 0.500 0.000 0.000
Mo1 0.500 0.500 0.500
Te1 0.000 0.000 0.500
La1 0.000 0.000 0.000

Computed properties:
magnetic moment: 3.95 μB per formula unit
energy above the lowest structure with this stoichiometry: 1185 meV per atom

=====

DFT (PBE) results for an optimized crystal structure of TbPr8Ho6.

Cell: 9.175 9.175 8.794 Å, 58.55 58.55 60.00°
Atoms (fractional coordinates):
Tb1 0.000 0.000 0.000
Pr1 0.247 0.284 0.581
Pr2 0.716 0.113 0.419
Pr3 0.113 0.753 0.419
Pr4 0.578 0.578 0.266
Pr5 0.422 0.422 0.734
Pr6 0.887 0.247 0.581
Pr7 0.284 0.887 0.581
Pr8 0.753 0.716 0.419
Ho1 0.461 0.904 0.884
Ho2 0.096 0.250 0.116
Ho3 0.250 0.539 0.116
Ho4 0.750 0.461 0.884
Ho5 0.904 0.750 0.884
Ho6 0.539 0.096 0.116

Computed properties:
E_form: 0.13 eV/atom
magnetic moment: 0.00 μB per formula unit
energy above the lowest structure with this stoichiometry: 0 meV per atom

=====

DFT (PBE) results for an optimized crystal structure of Ti2Al2Zn.

Cell: 7.595 7.595 3.040 Å, 90.00 90.00 90.00°
Atoms (fractional coordinates):
Zn1 0.000 0.000 0.000
Zn2 0.500 0.500 0.000
Al1 0.180 0.680 0.500
Al2 0.680 0.820 0.500
Al3 0.820 0.320 0.500
Al4 0.320 0.180 0.500
Ti1 0.378 0.878 0.000
Ti2 0.878 0.622 0.000
Ti3 0.622 0.122 0.000
Ti4 0.122 0.378 0.000

Computed properties:
E_form: 0.00 eV/atom
magnetic moment: 0.00 μB per formula unit
energy above the lowest structure with this stoichiometry: 241 meV per atom

=====

DFT (PBE) results for an optimized crystal structure of NpTlSe3.

Cell: 7.295 8.085 7.289 Å, 116.61 120.03 90.00°
Atoms (fractional coordinates):
Np1 0.835 0.004 0.669
Np2 0.165 0.996 0.331
Tl1 0.374 0.629 0.748
Tl2 0.626 0.371 0.252
Se1 0.914 0.743 0.331
Se2 0.086 0.257 0.171
Se3 0.416 0.743 0.331
Se4 0.584 0.257 0.669
Se5 0.086 0.257 0.669
Se6 0.914 0.743 0.829

Computed properties:
magnetic moment: 2.01 μB per formula unit
energy above the lowest structure with this stoichiometry: 58 meV per atom

=====

DFT (PBE) results for an optimized crystal structure of Pr6Y2Ho3.

Cell: 4.768 4.768 17.594 Å, 97.79 97.79 90.00°
Atoms (fractional coordinates):
Pr1 0.120 0.620 0.241
Pr2 0.620 0.120 0.241
Pr3 0.880 0.380 0.759
Pr4 0.380 0.880 0.759
Pr5 0.708 0.708 0.415
Pr6 0.292 0.292 0.585
Y1 0.455 0.455 0.910
Y2 0.545 0.545 0.090
Ho1 0.000 0.000 0.000
Ho2 0.807 0.807 0.614
Ho3 0.193 0.193 0.386

Computed properties:
E_form: 0.30 eV/atom
magnetic moment: 0.00 μB per formula unit
energy above the lowest structure with this stoichiometry: 282 meV per atom